A plane-wave DFT calculation with PBE was carried out for crystalline LiB2I at its relaxed geometry.

Results
ΔE_f (raw): 7.1 eV/f.u.

Cell lengths 6.2201, 6.2201, 6.2201 Å; angles 90.00, 90.00, 90.00 degrees
Last column: nearest neighbours and their distance in Å.
Positions (direct):
Li 0.0000 0.0000 0.0000  8 B 2.69
Li 0.0000 0.5000 0.5000  8 B 2.69
Li 0.5000 0.0000 0.5000  8 B 2.69
Li 0.5000 0.5000 0.0000  8 B 2.69
B 0.2500 0.2500 0.2500  4 Li 2.69, 4 I 2.69
B 0.2500 0.2500 0.7500  4 Li 2.69, 4 I 2.69
B 0.2500 0.7500 0.2500  4 Li 2.69, 4 I 2.69
B 0.2500 0.7500 0.7500  4 I 2.69, 4 Li 2.69
B 0.7500 0.2500 0.2500  4 Li 2.69, 4 I 2.69
B 0.7500 0.2500 0.7500  4 I 2.69, 4 Li 2.69
B 0.7500 0.7500 0.2500  4 I 2.69, 4 Li 2.69
B 0.7500 0.7500 0.7500  4 Li 2.69, 4 I 2.69
I 0.0000 0.0000 0.5000  8 B 2.69
I 0.0000 0.5000 0.0000  8 B 2.69
I 0.5000 0.0000 0.0000  8 B 2.69
I 0.5000 0.5000 0.5000  8 B 2.69

=====

A plane-wave DFT calculation with PBE was carried out for crystalline Ca2MgGaRh at its relaxed geometry.

Results
DFT formation energy: -243 meV/atom

Cell lengths 5.4740, 5.4740, 4.8157 Å; angles 90.00, 90.00, 90.00 degrees
Last column: nearest neighbours and their distance in Å.
Positions (direct):
Ca 0.0000 0.5000 0.0000  2 Rh 2.74
Ca 0.5000 0.0000 0.0000  2 Rh 2.74
Mg 0.0000 0.0000 0.5000  8 Ca 3.65, 4 Ga 3.87
Ga 0.5000 0.5000 0.5000  2 Rh 2.41
Rh 0.5000 0.5000 0.0000  2 Ga 2.41

=====

A plane-wave DFT calculation with PBE was carried out for crystalline Y2BrCl at its relaxed geometry.

Results
ΔE_f (raw): -1.2 eV/f.u.

Cell lengths 7.7768, 7.7768, 7.7768 Å; angles 90.00, 90.00, 90.00 degrees
Last column: nearest neighbours and their distance in Å.
Positions (direct):
Y 0.0000 0.0000 0.0000  4 Y 3.37, 4 Br 3.37
Y 0.0000 0.5000 0.5000  4 Y 3.37, 4 Br 3.37
Y 0.2500 0.2500 0.2500  4 Cl 3.37, 4 Y 3.37
Y 0.2500 0.7500 0.7500  4 Cl 3.37, 4 Y 3.37
Y 0.5000 0.0000 0.5000  4 Y 3.37, 4 Br 3.37
Y 0.5000 0.5000 0.0000  4 Y 3.37, 4 Br 3.37
Y 0.7500 0.2500 0.7500  4 Cl 3.37, 4 Y 3.37
Y 0.7500 0.7500 0.2500  4 Cl 3.37, 4 Y 3.37
Br 0.2500 0.2500 0.7500  4 Y 3.37, 4 Cl 3.37
Br 0.2500 0.7500 0.2500  4 Y 3.37, 4 Cl 3.37
Br 0.7500 0.2500 0.2500  4 Y 3.37, 4 Cl 3.37
Br 0.7500 0.7500 0.7500  4 Y 3.37, 4 Cl 3.37
Cl 0.0000 0.0000 0.5000  4 Br 3.37, 4 Y 3.37
Cl 0.0000 0.5000 0.0000  4 Br 3.37, 4 Y 3.37
Cl 0.5000 0.0000 0.0000  4 Br 3.37, 4 Y 3.37
Cl 0.5000 0.5000 0.5000  4 Br 3.37, 4 Y 3.37

=====

A plane-wave DFT calculation with PBE was carried out for crystalline CaCeOs at its relaxed geometry.

Results
DFT formation energy: 13 meV/atom

Cell lengths 9.5364, 9.5364, 8.1200 Å; angles 91.31, 91.31, 25.45 degrees
Last column: nearest neighbours and their distance in Å.
Positions (direct):
Ca 0.0296 0.0296 0.2865  6 Os 3.00-3.33
Ca 0.4048 0.4048 0.0633  2 Os 3.26-3.28, 3 Ce 3.50-3.63, 2 Ca 3.59
Ca 0.5952 0.5952 0.9367  2 Os 3.26-3.28, 3 Ce 3.50-3.63, 2 Ca 3.59
Ca 0.9704 0.9704 0.7135  6 Os 3.00-3.33
Ce 0.1647 0.1647 0.5864  4 Os 2.77-3.10
Ce 0.2228 0.2228 0.1620  2 Os 2.61
Ce 0.7772 0.7772 0.8380  2 Os 2.61
Ce 0.8353 0.8353 0.4136  4 Os 2.77-3.10
Os 0.3314 0.3314 0.6947  2 Ce 2.61, 1 Os 2.66
Os 0.4305 0.4305 0.4646  2 Os 2.64-2.66, 2 Ce 2.77
Os 0.5695 0.5695 0.5354  2 Os 2.64-2.66, 2 Ce 2.77
Os 0.6686 0.6686 0.3053  2 Ce 2.61, 1 Os 2.66

=====

A plane-wave DFT calculation with PBE was carried out for crystalline Ga2Bi3Pb4 at its relaxed geometry.

Results
DFT formation energy: 71 meV/atom

Cell lengths 8.8181, 8.8181, 7.2391 Å; angles 92.06, 92.06, 83.75 degrees
Last column: nearest neighbours and their distance in Å.
Positions (direct):
Ga 0.0623 0.3515 0.4617  1 Ga 2.77, 1 Bi 2.95
Ga 0.3515 0.0623 0.9617  1 Ga 2.77, 1 Bi 2.95
Ga 0.6485 0.9377 0.0383  1 Ga 2.77, 1 Bi 2.95
Ga 0.9377 0.6485 0.5383  1 Ga 2.77, 1 Bi 2.95
Bi 0.0902 0.9098 0.7500  2 Ga 3.12, 6 Pb 3.36-3.43
Bi 0.2533 0.3851 0.1418  2 Ga 2.95-3.14, 1 Pb 3.22
Bi 0.3851 0.2533 0.6418  2 Ga 2.95-3.14, 1 Pb 3.22
Bi 0.6149 0.7467 0.3582  2 Ga 2.95-3.14, 1 Pb 3.22
Bi 0.7467 0.6149 0.8582  2 Ga 2.95-3.14, 1 Pb 3.22
Bi 0.9098 0.0902 0.2500  2 Ga 3.12, 6 Pb 3.36-3.43
Pb 0.0109 0.7216 0.1355  1 Ga 3.11, 4 Bi 3.22-3.46, 1 Pb 3.46
Pb 0.2784 0.9891 0.3645  1 Ga 3.11, 4 Bi 3.22-3.46, 1 Pb 3.46
Pb 0.3043 0.6216 0.5240  2 Ga 3.22-3.37, 4 Bi 3.34-3.45, 2 Pb 3.37-3.46
Pb 0.3784 0.6957 0.9760  2 Ga 3.22-3.37, 4 Bi 3.34-3.45, 2 Pb 3.37-3.46
Pb 0.6216 0.3043 0.0240  2 Ga 3.22-3.37, 4 Bi 3.34-3.45, 2 Pb 3.37-3.46
Pb 0.6957 0.3784 0.4760  2 Ga 3.22-3.37, 4 Bi 3.34-3.45, 2 Pb 3.37-3.46
Pb 0.7216 0.0109 0.6355  1 Ga 3.11, 4 Bi 3.22-3.46, 1 Pb 3.46
Pb 0.9891 0.2784 0.8645  1 Ga 3.11, 4 Bi 3.22-3.46, 1 Pb 3.46

=====

A plane-wave DFT calculation with PBE was carried out for crystalline Pm4Y7Tm at its relaxed geometry.

Results
DFT formation energy: 228 meV/atom

Cell lengths 6.3603, 6.3603, 13.2127 Å; angles 102.79, 102.79, 50.77 degrees
Last column: nearest neighbours and their distance in Å.
Positions (direct):
Pm 0.0382 0.0382 0.2794  1 Tm 3.05, 1 Y 3.40
Pm 0.3240 0.3240 0.2366  3 Pm 3.47-3.62, 7 Y 3.57-3.87
Pm 0.6760 0.6760 0.7634  3 Pm 3.47-3.62, 7 Y 3.57-3.87
Pm 0.9618 0.9618 0.7206  1 Tm 3.05, 1 Y 3.40
Y 0.1397 0.1397 0.9675  2 Pm 3.40-3.67, 8 Y 3.52-3.77
Y 0.2694 0.2694 0.6031  1 Tm 3.06, 1 Y 3.26
Y 0.4124 0.4124 0.8718  7 Y 3.49-3.77, 5 Pm 3.51-3.87
Y 0.5000 0.5000 0.5000  2 Tm 2.73
Y 0.5876 0.5876 0.1282  7 Y 3.49-3.77, 5 Pm 3.51-3.87
Y 0.7306 0.7306 0.3969  1 Tm 3.06, 1 Y 3.26
Y 0.8603 0.8603 0.0325  2 Pm 3.40-3.67, 8 Y 3.52-3.77
Tm 0.0000 0.0000 0.5000  2 Y 2.73, 2 Pm 3.05

=====

A plane-wave DFT calculation with PBE was carried out for crystalline K2TaAlO6 at its relaxed geometry.

Results
ΔE_f (raw): -21.6 eV/f.u.

Cell lengths 5.5881, 5.5881, 5.5881 Å; angles 60.00, 60.00, 60.00 degrees
Last column: nearest neighbours and their distance in Å.
Positions (direct):
K 0.2500 0.2500 0.2500  12 O 2.79
K 0.7500 0.7500 0.7500  12 O 2.79
Ta 0.0000 0.0000 0.0000  6 O 2.01
Al 0.5000 0.5000 0.5000  6 O 1.94
O 0.2543 0.2543 0.7457  1 Al 1.94, 1 Ta 2.01
O 0.2543 0.7457 0.2543  1 Al 1.94, 1 Ta 2.01
O 0.2543 0.7457 0.7457  1 Al 1.94, 1 Ta 2.01
O 0.7457 0.2543 0.2543  1 Al 1.94, 1 Ta 2.01
O 0.7457 0.2543 0.7457  1 Al 1.94, 1 Ta 2.01
O 0.7457 0.7457 0.2543  1 Al 1.94, 1 Ta 2.01

=====

A plane-wave DFT calculation with PBE was carried out for crystalline Cs2Te5As2 at its relaxed geometry.

Results
ΔE_f (raw): -3.2 eV/f.u.

Cell lengths 8.1197, 8.1197, 10.2658 Å; angles 108.48, 108.48, 38.42 degrees
Last column: nearest neighbours and their distance in Å.
Positions (direct):
Cs 0.0880 0.0880 0.3438  8 Te 3.91-4.27
Cs 0.9120 0.9120 0.6562  8 Te 3.91-4.27
Te 0.1422 0.1422 0.9974  3 As 2.82-2.88
Te 0.4029 0.4029 0.3635  1 As 2.61
Te 0.5000 0.5000 0.0000  2 As 2.96
Te 0.5971 0.5971 0.6365  1 As 2.61
Te 0.8578 0.8578 0.0026  3 As 2.82-2.88
As 0.3371 0.3371 0.0939  4 Te 2.61-2.88
As 0.6629 0.6629 0.9061  4 Te 2.61-2.88

=====

A plane-wave DFT calculation with PBE was carried out for crystalline Pa4Se6N at its relaxed geometry.

Results
ΔE_f (raw): -15.8 eV/f.u.

Cell lengths 9.2286, 9.2286, 7.0854 Å; angles 90.00, 90.00, 120.00 degrees
Last column: nearest neighbours and their distance in Å.
Positions (direct):
Pa 0.1981 0.3961 0.0000  1 N 2.25
Pa 0.1981 0.8019 0.0000  1 N 2.25
Pa 0.3333 0.6667 0.5760  1 N 2.37
Pa 0.3961 0.1981 0.5000  1 N 2.25
Pa 0.6039 0.8019 0.0000  1 N 2.25
Pa 0.6667 0.3333 0.0760  1 N 2.37
Pa 0.8019 0.1981 0.5000  1 N 2.25
Pa 0.8019 0.6039 0.5000  1 N 2.25
Se 0.0600 0.5300 0.2931  5 Pa 2.96-3.15, 1 N 3.25
Se 0.1346 0.2692 0.6171  4 Pa 2.90-3.19
Se 0.1346 0.8654 0.6171  4 Pa 2.90-3.19
Se 0.2692 0.1346 0.1171  4 Pa 2.90-3.19
Se 0.4700 0.5300 0.2931  5 Pa 2.96-3.15, 1 N 3.25
Se 0.4700 0.9400 0.2931  5 Pa 2.96-3.15, 1 N 3.25
Se 0.5300 0.0600 0.7931  5 Pa 2.96-3.15, 1 N 3.25
Se 0.5300 0.4700 0.7931  5 Pa 2.96-3.15, 1 N 3.25
Se 0.7308 0.8654 0.6171  4 Pa 2.90-3.19
Se 0.8654 0.1346 0.1171  4 Pa 2.90-3.19
Se 0.8654 0.7308 0.1171  4 Pa 2.90-3.19
Se 0.9400 0.4700 0.7931  5 Pa 2.96-3.15, 1 N 3.25
N 0.3333 0.6667 0.9111  4 Pa 2.25-2.37
N 0.6667 0.3333 0.4111  4 Pa 2.25-2.37

=====

A plane-wave DFT calculation with PBE was carried out for crystalline ZrNp2ScN4 at its relaxed geometry.

Results
ΔE_f (raw): -11.6 eV/f.u.

Cell lengths 5.7479, 3.3153, 5.8310 Å; angles 90.00, 109.14, 90.00 degrees
Last column: nearest neighbours and their distance in Å.
Positions (direct):
Zr 0.0000 0.0000 0.0000  6 N 2.33
Np 0.0000 0.5000 0.5000  6 N 2.40-2.41
Np 0.5000 0.0000 0.5000  6 N 2.39
Sc 0.5000 0.5000 0.0000  6 N 2.31-2.32
N 0.2486 0.5000 0.2378  1 Sc 2.31, 2 Zr 2.33, 3 Np 2.39-2.41
N 0.2557 0.0000 0.7616  2 Sc 2.32, 1 Zr 2.33, 3 Np 2.39-2.40
N 0.7443 0.0000 0.2384  2 Sc 2.32, 1 Zr 2.33, 3 Np 2.39-2.40
N 0.7514 0.5000 0.7622  1 Sc 2.31, 2 Zr 2.33, 3 Np 2.39-2.41

=====

A plane-wave DFT calculation with PBE was carried out for crystalline AcPmLuAu at its relaxed geometry.

Results
DFT formation energy: -4 meV/atom

Cell lengths 7.7202, 7.7202, 7.7202 Å; angles 90.00, 90.00, 90.00 degrees
Last column: nearest neighbours and their distance in Å.
Positions (direct):
Ac 0.0000 0.0000 0.0000  4 Pm 3.34, 4 Lu 3.34
Ac 0.0000 0.5000 0.5000  4 Pm 3.34, 4 Lu 3.34
Ac 0.5000 0.0000 0.5000  4 Pm 3.34, 4 Lu 3.34
Ac 0.5000 0.5000 0.0000  4 Pm 3.34, 4 Lu 3.34
Pm 0.2500 0.2500 0.7500  4 Au 3.34, 4 Ac 3.34
Pm 0.2500 0.7500 0.2500  4 Au 3.34, 4 Ac 3.34
Pm 0.7500 0.2500 0.2500  4 Au 3.34, 4 Ac 3.34
Pm 0.7500 0.7500 0.7500  4 Au 3.34, 4 Ac 3.34
Lu 0.2500 0.2500 0.2500  4 Ac 3.34, 4 Au 3.34
Lu 0.2500 0.7500 0.7500  4 Ac 3.34, 4 Au 3.34
Lu 0.7500 0.2500 0.7500  4 Ac 3.34, 4 Au 3.34
Lu 0.7500 0.7500 0.2500  4 Ac 3.34, 4 Au 3.34
Au 0.0000 0.0000 0.5000  4 Lu 3.34, 4 Pm 3.34
Au 0.0000 0.5000 0.0000  4 Lu 3.34, 4 Pm 3.34
Au 0.5000 0.0000 0.0000  4 Lu 3.34, 4 Pm 3.34
Au 0.5000 0.5000 0.5000  4 Lu 3.34, 4 Pm 3.34

=====

A plane-wave DFT calculation with PBE was carried out for crystalline Tb2TaGaN5 at its relaxed geometry.

Results
ΔE_f (raw): -9.0 eV/f.u.

Cell lengths 7.0791, 7.0791, 9.9898 Å; angles 90.00, 90.00, 153.56 degrees
Last column: nearest neighbours and their distance in Å.
Positions (direct):
Tb 0.1133 0.8867 0.5000  7 N 2.38-2.62
Tb 0.1286 0.8714 0.0862  6 N 2.40-2.56
Tb 0.8714 0.1286 0.5862  6 N 2.40-2.56
Tb 0.8867 0.1133 0.0000  7 N 2.38-2.62
Ta 0.2197 0.7803 0.8017  6 N 2.00-2.22
Ta 0.7803 0.2197 0.3017  6 N 2.00-2.22
Ga 0.4873 0.5127 0.2728  4 N 1.90-2.06
Ga 0.5127 0.4873 0.7728  4 N 1.90-2.06
N 0.0617 0.9383 0.8466  2 Ga 1.90
N 0.2866 0.7134 0.4459  2 Ta 2.17
N 0.3000 0.7000 0.1687  2 Ta 2.11
N 0.3647 0.6353 0.8045  1 Ta 2.00, 1 Ga 2.06
N 0.5001 0.4999 0.0786  1 Ga 1.95
N 0.4999 0.5001 0.5786  1 Ga 1.95
N 0.6353 0.3647 0.3045  1 Ta 2.00, 1 Ga 2.06
N 0.7000 0.3000 0.6687  2 Ta 2.11
N 0.7134 0.2866 0.9459  2 Ta 2.17
N 0.9383 0.0617 0.3466  2 Ga 1.90

=====

Computed V (Å³ per cell) in order:
241; 144; 470; 317; 559; 401; 123; 396; 523; 105; 460; 223